## w
VASP calculation (PBE) on a relaxed structure of Tm4In3Hg.

a = 3.710 Å, b = 3.710 Å, c = 14.828 Å
α = 90.00°, β = 90.00°, γ = 90.00°
Positions (direct):
Tm: 0.000 0.000 0.121
Tm: 0.000 0.000 0.374
Tm: 0.000 0.000 0.626
Tm: 0.000 0.000 0.879
In: 0.500 0.500 0.247
In: 0.500 0.500 0.500
In: 0.500 0.500 0.753
Hg: 0.500 0.500 0.000

Summary:
size of the total moment = 0.00 Bohr magnetons per cell
V = 204.1 Å³ per cell
N(E_F) = 0.712 states/eV per atom

---

## x
VASP calculation (PBE) on a relaxed structure of Tm4In3Hg.

a = 3.733 Å, b = 4.745 Å, c = 11.862 Å
α = 90.00°, β = 90.00°, γ = 90.00°
Positions (direct):
Tm: 0.000 0.000 0.000
Tm: 0.000 0.500 0.307
Tm: 0.500 0.000 0.494
Tm: 0.500 0.500 0.812
In: 0.000 0.000 0.734
In: 0.000 0.500 0.574
In: 0.500 0.500 0.076
Hg: 0.500 0.000 0.237

Summary:
size of the total moment = 0.00 Bohr magnetons per cell
V = 210.1 Å³ per cell
N(E_F) = 0.730 states/eV per atom

---

Which structure is the most stable? The one labeled w.

---

## w
VASP calculation (PBE) on a relaxed structure of TmInHg3.

a = 8.336 Å, b = 8.336 Å, c = 5.629 Å
α = 96.42°, β = 96.42°, γ = 44.34°
Positions (direct):
Tm: 0.189 0.189 0.328
Tm: 0.811 0.811 0.672
In: 0.368 0.368 0.736
In: 0.632 0.632 0.264
Hg: 0.000 0.000 0.000
Hg: 0.000 0.000 0.500
Hg: 0.091 0.596 0.195
Hg: 0.404 0.909 0.805
Hg: 0.596 0.091 0.195
Hg: 0.909 0.404 0.805

Summary:
size of the total moment = 0.00 Bohr magnetons per cell
V = 271.4 Å³ per cell
N(E_F) = 0.532 states/eV per atom

---

## x
VASP calculation (PBE) on a relaxed structure of TmInHg3.

a = 8.047 Å, b = 8.047 Å, c = 6.680 Å
α = 102.92°, β = 102.92°, γ = 35.57°
Positions (direct):
Tm: 0.121 0.121 0.483
Tm: 0.879 0.879 0.517
In: 0.483 0.483 0.272
In: 0.517 0.517 0.728
Hg: 0.097 0.097 0.948
Hg: 0.286 0.286 0.261
Hg: 0.327 0.327 0.770
Hg: 0.673 0.673 0.230
Hg: 0.714 0.714 0.739
Hg: 0.903 0.903 0.052

Summary:
size of the total moment = 0.00 Bohr magnetons per cell
V = 244.6 Å³ per cell
N(E_F) = 0.399 states/eV per atom

---

Which structure is the most stable? The one labeled x.

---

## w
VASP calculation (PBE) on a relaxed structure of Tm3InHg.

a = 6.177 Å, b = 9.851 Å, c = 9.069 Å
α = 90.00°, β = 90.00°, γ = 90.00°
Positions (direct):
Tm: 0.081 0.067 0.174
Tm: 0.081 0.433 0.174
Tm: 0.228 0.750 0.355
Tm: 0.272 0.250 0.855
Tm: 0.419 0.567 0.674
Tm: 0.419 0.933 0.674
Tm: 0.581 0.067 0.326
Tm: 0.581 0.433 0.326
Tm: 0.728 0.750 0.145
Tm: 0.772 0.250 0.645
Tm: 0.919 0.567 0.826
Tm: 0.919 0.933 0.826
In: 0.000 0.000 0.500
In: 0.000 0.500 0.500
In: 0.500 0.000 0.000
In: 0.500 0.500 0.000
Hg: 0.205 0.750 0.008
Hg: 0.295 0.250 0.508
Hg: 0.705 0.750 0.492
Hg: 0.795 0.250 0.992

Summary:
size of the total moment = 0.00 Bohr magnetons per cell
V = 551.8 Å³ per cell
N(E_F) = 0.950 states/eV per atom

---

## x
VASP calculation (PBE) on a relaxed structure of Tm3InHg.

a = 10.650 Å, b = 10.650 Å, c = 5.068 Å
α = 90.00°, β = 90.00°, γ = 152.46°
Positions (direct):
Tm: 0.058 0.942 0.750
Tm: 0.250 0.750 0.750
Tm: 0.441 0.559 0.750
Tm: 0.559 0.441 0.250
Tm: 0.750 0.250 0.250
Tm: 0.942 0.058 0.250
In: 0.156 0.844 0.250
In: 0.844 0.156 0.750
Hg: 0.346 0.654 0.250
Hg: 0.654 0.346 0.750

Summary:
size of the total moment = 0.00 Bohr magnetons per cell
V = 265.8 Å³ per cell
N(E_F) = 1.241 states/eV per atom

---

Which structure is the most stable? The one labeled x.

---

## w
VASP calculation (PBE) on a relaxed structure of Tm2In5Hg12.

a = 11.576 Å, b = 11.576 Å, c = 4.951 Å
α = 101.84°, β = 101.84°, γ = 49.08°
Positions (direct):
Tm: 0.218 0.782 0.000
Tm: 0.782 0.218 0.000
In: 0.000 0.000 0.500
In: 0.200 0.200 0.699
In: 0.299 0.299 0.298
In: 0.701 0.701 0.702
In: 0.800 0.800 0.301
Hg: 0.073 0.540 0.809
Hg: 0.109 0.109 0.108
Hg: 0.193 0.630 0.414
Hg: 0.370 0.807 0.586
Hg: 0.421 0.421 0.919
Hg: 0.460 0.927 0.191
Hg: 0.540 0.073 0.809
Hg: 0.579 0.579 0.081
Hg: 0.630 0.193 0.414
Hg: 0.807 0.370 0.586
Hg: 0.891 0.891 0.892
Hg: 0.927 0.460 0.191

Summary:
size of the total moment = 0.00 Bohr magnetons per cell
V = 488.4 Å³ per cell
N(E_F) = 0.525 states/eV per atom

---

## x
VASP calculation (PBE) on a relaxed structure of Tm2In5Hg12.

a = 9.128 Å, b = 9.128 Å, c = 9.022 Å
α = 107.13°, β = 107.13°, γ = 49.17°
Positions (direct):
Tm: 0.231 0.769 0.000
Tm: 0.769 0.231 0.000
In: 0.141 0.141 0.900
In: 0.252 0.252 0.445
In: 0.500 0.500 0.500
In: 0.748 0.748 0.555
In: 0.859 0.859 0.100
Hg: 0.058 0.058 0.297
Hg: 0.087 0.513 0.866
Hg: 0.089 0.660 0.394
Hg: 0.340 0.911 0.606
Hg: 0.425 0.425 0.745
Hg: 0.487 0.913 0.134
Hg: 0.513 0.087 0.866
Hg: 0.575 0.575 0.255
Hg: 0.660 0.089 0.394
Hg: 0.911 0.340 0.606
Hg: 0.913 0.487 0.134
Hg: 0.942 0.942 0.703

Summary:
size of the total moment = 0.00 Bohr magnetons per cell
V = 538.1 Å³ per cell
N(E_F) = 0.410 states/eV per atom

---

Which structure is the most stable? The one labeled w.